# SmHo3Tm6, optimized geometry, DFT GGA-PBE
# Calculated formation energy, meV per atom: 297
# E above lowest polymorph, meV per atom: 148
data_SmHo3Tm6
_chemical_formula_sum 'Sm3 Ho9 Tm18'
_cell_length_a 9.7015
_cell_length_b 9.7015
_cell_length_c 11.5873
_cell_angle_alpha 90.00
_cell_angle_beta 90.00
_cell_angle_gamma 120.00
_space_group_name_H-M_alt 'R 3'
_space_group_IT_number 146
_space_group_name_Hall 'R 3'
loop_
_atom_site_label
_atom_site_type_symbol
_atom_site_fract_x
_atom_site_fract_y
_atom_site_fract_z
_atom_site_occupancy
Sm1 Sm 0.0000 0.0000 0.0000 1
Ho1 Ho 0.0000 0.0000 0.2580 1
Ho2 Ho 0.0000 0.0000 0.5021 1
Ho3 Ho 0.0000 0.0000 0.7546 1
Tm1 Tm 0.0005 0.3298 0.6572 1
Tm2 Tm 0.0013 0.6640 0.8233 1



# PPt3N, optimized geometry, DFT GGA-PBE
# ΔE_f (raw), meV per atom: 766
# E above lowest polymorph, meV per atom: 0
data_PPt3N
_chemical_formula_sum 'P1 Pt3 N1'
_cell_length_a 4.2015
_cell_length_b 4.2015
_cell_length_c 4.2015
_cell_angle_alpha 90.00
_cell_angle_beta 90.00
_cell_angle_gamma 90.00
_space_group_name_H-M_alt 'P m -3 m'
_space_group_IT_number 221
_space_group_name_Hall '-P 4 2 3'
loop_
_atom_site_label
_atom_site_type_symbol
_atom_site_fract_x
_atom_site_fract_y
_atom_site_fract_z
_atom_site_occupancy
P1 P 0.0000 0.0000 0.0000 1
Pt1 Pt 0.0000 0.5000 0.5000 1
N1 N 0.5000 0.5000 0.5000 1



# SrHg2W, optimized geometry, DFT GGA-PBE
# Calculated formation energy, meV per atom: 758
# E above lowest polymorph, meV per atom: 229
data_SrHg2W
_chemical_formula_sum 'Sr3 Hg6 W3'
_cell_length_a 3.2059
_cell_length_b 3.2059
_cell_length_c 31.4625
_cell_angle_alpha 90.00
_cell_angle_beta 90.00
_cell_angle_gamma 120.00
_space_group_name_H-M_alt 'R 3 m'
_space_group_IT_number 160
_space_group_name_Hall 'R 3 -2"'
loop_
_atom_site_label
_atom_site_type_symbol
_atom_site_fract_x
_atom_site_fract_y
_atom_site_fract_z
_atom_site_occupancy
Sr1 Sr 0.0000 0.0000 0.0000 1
Hg1 Hg 0.0000 0.0000 0.2412 1
Hg2 Hg 0.0000 0.0000 0.4894 1
W1 W 0.0000 0.0000 0.7499 1



# TcSnRh3, optimized geometry, DFT GGA-PBE
# Calculated formation energy, meV per atom: 933
# E above lowest polymorph, meV per atom: 0
data_TcSnRh3
_chemical_formula_sum 'Tc1 Sn1 Rh3'
_cell_length_a 4.6979
_cell_length_b 4.6979
_cell_length_c 4.6979
_cell_angle_alpha 90.00
_cell_angle_beta 90.00
_cell_angle_gamma 90.00
_space_group_name_H-M_alt 'P m -3 m'
_space_group_IT_number 221
_space_group_name_Hall '-P 4 2 3'
loop_
_atom_site_label
_atom_site_type_symbol
_atom_site_fract_x
_atom_site_fract_y
_atom_site_fract_z
_atom_site_occupancy
Tc1 Tc 0.0000 0.0000 0.0000 1
Sn1 Sn 0.5000 0.5000 0.5000 1
Rh1 Rh 0.0000 0.0000 0.5000 1



# CaCd2Re, optimized geometry, DFT GGA-PBE
# Calculated formation energy, meV per atom: 507
# E above lowest polymorph, meV per atom: 97
data_CaCd2Re
_chemical_formula_sum 'Ca2 Cd4 Re2'
_cell_length_a 10.2872
_cell_length_b 2.9244
_cell_length_c 5.4956
_cell_angle_alpha 90.00
_cell_angle_beta 98.45
_cell_angle_gamma 90.00
_space_group_name_H-M_alt 'C 1 m 1'
_space_group_IT_number 8
_space_group_name_Hall 'C -2y'
loop_
_atom_site_label
_atom_site_type_symbol
_atom_site_fract_x
_atom_site_fract_y
_atom_site_fract_z
_atom_site_occupancy
Ca1 Ca 0.0000 0.0000 0.0000 1
Cd1 Cd 0.2381 0.0000 0.7244 1
Cd2 Cd 0.4862 0.0000 0.4784 1
Re1 Re 0.2494 0.5000 0.2330 1



# Cr2SiRh, optimized geometry, DFT GGA-PBE
# ΔE_f (raw), meV per atom: -21
data_Cr2SiRh
_chemical_formula_sum 'Cr6 Si3 Rh3'
_cell_length_a 2.7560
_cell_length_b 2.7560
_cell_length_c 23.2480
_cell_angle_alpha 90.00
_cell_angle_beta 90.00
_cell_angle_gamma 120.00
_space_group_name_H-M_alt 'R 3 m'
_space_group_IT_number 160
_space_group_name_Hall 'R 3 -2"'
loop_
_atom_site_label
_atom_site_type_symbol
_atom_site_fract_x
_atom_site_fract_y
_atom_site_fract_z
_atom_site_occupancy
Cr1 Cr 0.0000 0.0000 0.0000 1
Cr2 Cr 0.0000 0.0000 0.2584 1
Si1 Si 0.0000 0.0000 0.5083 1
Rh1 Rh 0.0000 0.0000 0.7579 1



# Sm3Dy2Y6Er, optimized geometry, DFT GGA-PBE
# Calculated formation energy, meV per atom: 19
data_Sm3Dy2Y6Er
_chemical_formula_sum 'Sm6 Dy4 Y12 Er2'
_cell_length_a 6.1971
_cell_length_b 10.7248
_cell_length_c 11.8302
_cell_angle_alpha 90.00
_cell_angle_beta 100.01
_cell_angle_gamma 90.00
_space_group_name_H-M_alt 'C 1 2/m 1'
_space_group_IT_number 12
_space_group_name_Hall '-C 2y'
loop_
_atom_site_label
_atom_site_type_symbol
_atom_site_fract_x
_atom_site_fract_y
_atom_site_fract_z
_atom_site_occupancy
Sm1 Sm 0.0000 0.0000 0.0000 1
Sm2 Sm 0.0000 0.3335 0.0000 1
Dy1 Dy 0.0000 0.1666 0.5000 1
Y1 Y 0.2493 0.3334 0.7477 1
Y2 Y 0.2495 0.0000 0.7477 1
Er1 Er 0.0000 0.5000 0.5000 1



# Be2SbP, optimized geometry, DFT GGA-PBE
# ΔE_f (raw), meV per atom: 694
# E above lowest polymorph, meV per atom: 649
data_Be2SbP
_chemical_formula_sum 'Be4 Sb2 P2'
_cell_length_a 5.3869
_cell_length_b 6.7010
_cell_length_c 3.3947
_cell_angle_alpha 90.00
_cell_angle_beta 90.00
_cell_angle_gamma 90.00
_space_group_name_H-M_alt 'C m m m'
_space_group_IT_number 65
_space_group_name_Hall '-C 2 2'
loop_
_atom_site_label
_atom_site_type_symbol
_atom_site_fract_x
_atom_site_fract_y
_atom_site_fract_z
_atom_site_occupancy
Be1 Be 0.2500 0.2500 0.0000 1
Sb1 Sb 0.0000 0.0000 0.5000 1
P1 P 0.0000 0.5000 0.5000 1



# Ba3Nd2HoTe6, optimized geometry, DFT GGA-PBE
# ΔE_f (raw), meV per atom: -1554
data_Ba3Nd2HoTe6
_chemical_formula_sum 'Ba6 Nd4 Ho2 Te12'
_cell_length_a 8.0395
_cell_length_b 13.8979
_cell_length_c 8.3030
_cell_angle_alpha 90.00
_cell_angle_beta 108.82
_cell_angle_gamma 90.00
_space_group_name_H-M_alt 'C 1 2/m 1'
_space_group_IT_number 12
_space_group_name_Hall '-C 2y'
loop_
_atom_site_label
_atom_site_type_symbol
_atom_site_fract_x
_atom_site_fract_y
_atom_site_fract_z
_atom_site_occupancy
Ba1 Ba 0.0000 0.0000 0.0000 1
Ba2 Ba 0.0000 0.3299 0.0000 1
Nd1 Nd 0.0000 0.1654 0.5000 1
Ho1 Ho 0.0000 0.5000 0.5000 1
Te1 Te 0.2353 0.3375 0.7196 1
Te2 Te 0.2501 0.0000 0.7231 1



# Pr8Nd2Y3, optimized geometry, DFT GGA-PBE
# Calculated formation energy, meV per atom: 68
# E above lowest polymorph, meV per atom: 0
data_Pr8Nd2Y3
_chemical_formula_sum 'Pr16 Nd4 Y6'
_cell_length_a 6.2208
_cell_length_b 6.4044
_cell_length_c 23.3120
_cell_angle_alpha 90.10
_cell_angle_beta 90.12
_cell_angle_gamma 97.27
_space_group_name_H-M_alt 'P -1'
_space_group_IT_number 2
_space_group_name_Hall '-P 1'
loop_
_atom_site_label
_atom_site_type_symbol
_atom_site_fract_x
_atom_site_fract_y
_atom_site_fract_z
_atom_site_occupancy
Pr1 Pr 0.0862 0.0128 0.4195 1
Pr2 Pr 0.0890 0.0121 0.0813 1
Pr3 Pr 0.1580 0.5201 0.3365 1
Pr4 Pr 0.1610 0.5188 0.1643 1
Pr5 Pr 0.3094 0.1955 0.6789 1
Pr6 Pr 0.3093 0.1948 0.8215 1
Pr7 Pr 0.3752 0.7158 0.8942 1
Pr8 Pr 0.3781 0.7175 0.6068 1
Nd1 Nd 0.4620 0.2423 0.9642 1
Nd2 Nd 0.4629 0.2436 0.5360 1
Y1 Y 0.0000 0.5000 0.0000 1
Y2 Y 0.0000 0.5000 0.5000 1
Y3 Y 0.1923 0.0231 0.2507 1
Y4 Y 0.2802 0.6926 0.7504 1



# Cr2CuI, optimized geometry, DFT GGA-PBE
# ΔE_f (raw), meV per atom: 1042
# E above lowest polymorph, meV per atom: 22
data_Cr2CuI
_chemical_formula_sum 'Cr8 Cu4 I4'
_cell_length_a 3.7408
_cell_length_b 3.7408
_cell_length_c 18.5573
_cell_angle_alpha 90.00
_cell_angle_beta 90.00
_cell_angle_gamma 90.00
_space_group_name_H-M_alt 'I -4 2 d'
_space_group_IT_number 122
_space_group_name_Hall 'I -4 2bw'
loop_
_atom_site_label
_atom_site_type_symbol
_atom_site_fract_x
_atom_site_fract_y
_atom_site_fract_z
_atom_site_occupancy
Cr1 Cr 0.1778 0.2500 0.1250 1
Cu1 Cu 0.0000 0.0000 0.0000 1
I1 I 0.0000 0.0000 0.5000 1



# KRb2CrPt, optimized geometry, DFT GGA-PBE
# Calculated formation energy, meV per atom: 614
data_KRb2CrPt
_chemical_formula_sum 'K1 Rb2 Cr1 Pt1'
_cell_length_a 6.4362
_cell_length_b 6.4362
_cell_length_c 6.1723
_cell_angle_alpha 90.00
_cell_angle_beta 90.00
_cell_angle_gamma 90.00
_space_group_name_H-M_alt 'P 4/m m m'
_space_group_IT_number 123
_space_group_name_Hall '-P 4 2'
loop_
_atom_site_label
_atom_site_type_symbol
_atom_site_fract_x
_atom_site_fract_y
_atom_site_fract_z
_atom_site_occupancy
K1 K 0.0000 0.0000 0.0000 1
Rb1 Rb 0.0000 0.5000 0.5000 1
Cr1 Cr 0.5000 0.5000 0.0000 1
Pt1 Pt 0.0000 0.0000 0.5000 1



# AlTe2PbO8, optimized geometry, DFT GGA-PBE
# ΔE_f (raw), meV per atom: -1212
data_AlTe2PbO8
_chemical_formula_sum 'Al1 Te2 Pb1 O8'
_cell_length_a 5.4046
_cell_length_b 5.4046
_cell_length_c 7.2104
_cell_angle_alpha 90.00
_cell_angle_beta 90.00
_cell_angle_gamma 120.00
_space_group_name_H-M_alt 'P -3'
_space_group_IT_number 147
_space_group_name_Hall '-P 3'
loop_
_atom_site_label
_atom_site_type_symbol
_atom_site_fract_x
_atom_site_fract_y
_atom_site_fract_z
_atom_site_occupancy
Al1 Al 0.0000 0.0000 0.0000 1
Te1 Te 0.3333 0.6667 0.2111 1
Pb1 Pb 0.0000 0.0000 0.5000 1
O1 O 0.0249 0.2888 0.1644 1
O2 O 0.3333 0.6667 0.4660 1



# Pu2AlTl, optimized geometry, DFT GGA-PBE
# Calculated formation energy, meV per atom: 92
data_Pu2AlTl
_chemical_formula_sum 'Pu6 Al3 Tl3'
_cell_length_a 3.2935
_cell_length_b 3.2935
_cell_length_c 32.1532
_cell_angle_alpha 90.00
_cell_angle_beta 90.00
_cell_angle_gamma 120.00
_space_group_name_H-M_alt 'R -3 m'
_space_group_IT_number 166
_space_group_name_Hall '-R 3 2"'
loop_
_atom_site_label
_atom_site_type_symbol
_atom_site_fract_x
_atom_site_fract_y
_atom_site_fract_z
_atom_site_occupancy
Pu1 Pu 0.0000 0.0000 0.2440 1
Al1 Al 0.0000 0.0000 0.5000 1
Tl1 Tl 0.0000 0.0000 0.0000 1



# SrCoPb2, optimized geometry, DFT GGA-PBE
# Calculated formation energy, meV per atom: 238
data_SrCoPb2
_chemical_formula_sum 'Sr1 Co1 Pb2'
_cell_length_a 4.7266
_cell_length_b 4.7266
_cell_length_c 4.7709
_cell_angle_alpha 90.00
_cell_angle_beta 90.00
_cell_angle_gamma 90.00
_space_group_name_H-M_alt 'P 4/m m m'
_space_group_IT_number 123
_space_group_name_Hall '-P 4 2'
loop_
_atom_site_label
_atom_site_type_symbol
_atom_site_fract_x
_atom_site_fract_y
_atom_site_fract_z
_atom_site_occupancy
Sr1 Sr 0.0000 0.0000 0.0000 1
Co1 Co 0.5000 0.5000 0.0000 1
Pb1 Pb 0.0000 0.5000 0.5000 1



# Ni2OsPb, optimized geometry, DFT GGA-PBE
# Calculated formation energy, meV per atom: 483
data_Ni2OsPb
_chemical_formula_sum 'Ni2 Os1 Pb1'
_cell_length_a 2.8974
_cell_length_b 2.8974
_cell_length_c 7.5496
_cell_angle_alpha 90.00
_cell_angle_beta 90.00
_cell_angle_gamma 90.00
_space_group_name_H-M_alt 'P 4/m m m'
_space_group_IT_number 123
_space_group_name_Hall '-P 4 2'
loop_
_atom_site_label
_atom_site_type_symbol
_atom_site_fract_x
_atom_site_fract_y
_atom_site_fract_z
_atom_site_occupancy
Ni1 Ni 0.0000 0.0000 0.2035 1
Os1 Os 0.5000 0.5000 0.0000 1
Pb1 Pb 0.5000 0.5000 0.5000 1



# Rb2Sn3Sb5, optimized geometry, DFT GGA-PBE
# ΔE_f (raw), meV per atom: -128
data_Rb2Sn3Sb5
_chemical_formula_sum 'Rb8 Sn12 Sb20'
_cell_length_a 12.0513
_cell_length_b 14.7078
_cell_length_c 8.2913
_cell_angle_alpha 90.00
_cell_angle_beta 90.00
_cell_angle_gamma 90.00
_space_group_name_H-M_alt 'I b a m'
_space_group_IT_number 72
_space_group_name_Hall '-I 2 2c'
loop_
_atom_site_label
_atom_site_type_symbol
_atom_site_fract_x
_atom_site_fract_y
_atom_site_fract_z
_atom_site_occupancy
Rb1 Rb 0.2498 0.1277 0.0000 1
Sn1 Sn 0.0000 0.0000 0.2500 1
Sn2 Sn 0.1155 0.3784 0.0000 1
Sb1 Sb 0.0000 0.2552 0.2500 1
Sb2 Sb 0.0000 0.5000 0.2500 1
Sb3 Sb 0.1055 0.1270 0.5000 1



# LaMo2Br, optimized geometry, DFT GGA-PBE
# ΔE_f (raw), meV per atom: 731
# E above lowest polymorph, meV per atom: 761
data_LaMo2Br
_chemical_formula_sum 'La4 Mo8 Br4'
_cell_length_a 4.6117
_cell_length_b 4.6117
_cell_length_c 18.3857
_cell_angle_alpha 90.00
_cell_angle_beta 90.00
_cell_angle_gamma 90.00
_space_group_name_H-M_alt 'I -4 2 d'
_space_group_IT_number 122
_space_group_name_Hall 'I -4 2bw'
loop_
_atom_site_label
_atom_site_type_symbol
_atom_site_fract_x
_atom_site_fract_y
_atom_site_fract_z
_atom_site_occupancy
La1 La 0.0000 0.0000 0.0000 1
Mo1 Mo 0.0806 0.2500 0.6250 1
Br1 Br 0.0000 0.0000 0.5000 1



# Pm2TlPd4, optimized geometry, DFT GGA-PBE
# Calculated formation energy, meV per atom: -673
# E above lowest polymorph, meV per atom: 0
data_Pm2TlPd4
_chemical_formula_sum 'Pm4 Tl2 Pd8'
_cell_length_a 4.1529
_cell_length_b 4.1529
_cell_length_c 18.3226
_cell_angle_alpha 90.00
_cell_angle_beta 90.00
_cell_angle_gamma 90.00
_space_group_name_H-M_alt 'I 4/m m m'
_space_group_IT_number 139
_space_group_name_Hall '-I 4 2'
loop_
_atom_site_label
_atom_site_type_symbol
_atom_site_fract_x
_atom_site_fract_y
_atom_site_fract_z
_atom_site_occupancy
Pm1 Pm 0.0000 0.0000 0.1265 1
Tl1 Tl 0.0000 0.0000 0.5000 1
Pd1 Pd 0.0000 0.0000 0.3523 1
Pd2 Pd 0.0000 0.5000 0.2500 1



# Bi5TeI2, optimized geometry, DFT GGA-PBE
# ΔE_f (raw), meV per atom: -70
data_Bi5TeI2
_chemical_formula_sum 'Bi5 Te1 I2'
_cell_length_a 6.5863
_cell_length_b 6.8801
_cell_length_c 7.8597
_cell_angle_alpha 105.23
_cell_angle_beta 94.21
_cell_angle_gamma 100.95
_space_group_name_H-M_alt 'P 1'
_space_group_IT_number 1
_space_group_name_Hall 'P 1'
loop_
_atom_site_label
_atom_site_type_symbol
_atom_site_fract_x
_atom_site_fract_y
_atom_site_fract_z
_atom_site_occupancy
Bi1 Bi 0.0000 0.0000 0.0000 1
Bi2 Bi 0.0485 0.4759 0.1493 1
Bi3 Bi 0.2525 0.5328 0.5395 1
Bi4 Bi 0.4170 0.1890 0.2479 1
Bi5 Bi 0.4676 0.4719 0.9920 1
Te1 Te 0.7117 0.8677 0.2497 1
I1 I 0.2715 0.0239 0.6398 1
I2 I 0.8334 0.4406 0.6532 1



no.,magnetization (μB/cell),Fermi-level density of states (states/eV per cell)
1,0.00,58.156
2,0.00,4.137
3,0.00,6.354
4,0.00,5.241
5,0.00,6.493
6,0.00,13.475
7,0.00,33.701
8,0.00,3.570
9,0.00,11.094
10,0.00,34.754
11,0.00,19.399
12,5.00,0.000
13,0.46,4.368
14,34.78,45.326
15,1.66,5.465
16,0.00,5.119
17,0.00,18.060
18,0.00,16.332
19,0.00,5.429
20,0.00,1.961